Record 1
## Cr2H2Os (SCAN)

Data for Cr2H2Os at its PBEsol-relaxed geometry.

Crystal system ... tetragonal

Cell and atoms, written as POSCAR:
```
Cr2H2Os
1.0
-1.350 -2.350 -0.059
1.888 -1.125 1.588
-3.198 3.305 3.830
Os H Cr
1 2 2
Cartesian
0.000 0.000 0.000 Os
-2.140 -0.391 2.268 H
-0.520 0.222 3.091 H
-0.624 -1.260 2.165 Cr
-2.036 1.090 3.195 Cr
```

Record 2
## Cr2PH2 (SCAN)

Data for Cr2PH2 at its PBEsol-relaxed geometry.

Crystal system ... tetragonal

Cell and atoms, written as POSCAR:
```
Cr2PH2
1.0
-2.477 1.277 -0.466
-0.623 -0.205 2.748
3.588 3.701 -0.363
P Cr H
1 2 2
Cartesian
0.000 0.000 0.000 P
-0.983 1.714 1.357 Cr
1.472 3.060 0.562 Cr
-0.219 2.757 0.156 H
0.708 2.016 1.763 H
```

Record 3
## Cr3PH (SCAN)

Data for Cr3PH at its PBEsol-relaxed geometry.

Crystal system ... cubic

Cell and atoms, written as POSCAR:
```
Cr3PH
1.0
4.330 0.000 0.000
0.000 4.330 0.000
0.000 0.000 4.330
Cr P H
3 1 1
Cartesian
0.000 2.165 0.000 Cr
2.165 0.000 0.000 Cr
0.000 0.000 2.165 Cr
0.000 0.000 0.000 P
2.165 2.165 2.165 H
```

Record 4
## Y2CrPH (SCAN)

Data for Y2CrPH at its PBEsol-relaxed geometry.

Crystal system ... tetragonal

Cell and atoms, written as POSCAR:
```
Y2CrPH
1.0
3.458 0.000 0.000
0.000 5.435 0.000
0.000 0.000 5.435
P Cr H Y
1 1 1 2
Cartesian
0.000 0.000 0.000 P
1.729 2.718 2.718 Cr
1.729 0.000 0.000 H
0.000 0.000 2.718 Y
0.000 2.718 0.000 Y
```

Record 5
## Cr3HPb (SCAN)

Data for Cr3HPb at its PBEsol-relaxed geometry.

Crystal system ... cubic

Cell and atoms, written as POSCAR:
```
Cr3HPb
1.0
5.235 0.000 0.000
0.000 5.235 0.000
0.000 0.000 5.235
Cr Pb H
3 1 1
Cartesian
0.000 0.000 2.618 Cr
2.618 0.000 0.000 Cr
0.000 2.618 0.000 Cr
0.000 0.000 0.000 Pb
2.618 2.618 2.618 H
```

Record 6
## CrH2Pb (SCAN)

Data for CrH2Pb at its PBEsol-relaxed geometry.

Crystal system ... cubic

Cell and atoms, written as POSCAR:
```
CrH2Pb
1.0
4.122 0.000 0.000
2.061 3.570 0.000
2.061 1.190 3.365
Pb Cr H
1 1 2
Cartesian
4.122 2.380 1.683 Pb
0.000 0.000 0.000 Cr
2.061 1.190 0.841 H
6.183 3.570 2.524 H
```

Record 7
## CrH2Pt2 (SCAN)

Data for CrH2Pt2 at its PBEsol-relaxed geometry.

Crystal system ... tetragonal

Cell and atoms, written as POSCAR:
```
CrH2Pt2
1.0
3.722 0.000 0.000
0.000 5.284 0.000
0.000 0.000 5.284
H Pt Cr
4 4 2
Cartesian
0.000 3.544 4.382 H
0.000 0.902 3.544 H
0.000 1.740 0.902 H
0.000 4.382 1.740 H
1.861 3.606 4.320 Pt
1.861 4.320 1.678 Pt
1.861 1.678 0.964 Pt
1.861 0.964 3.606 Pt
0.000 2.642 2.642 Cr
0.000 0.000 0.000 Cr
```

Record 8
## Cr3HPt (SCAN)

Data for Cr3HPt at its PBEsol-relaxed geometry.

Crystal system ... cubic

Cell and atoms, written as POSCAR:
```
Cr3HPt
1.0
-1.289 3.396 -0.657
-3.287 -0.984 1.361
1.076 1.060 3.368
H Cr Pt
1 3 1
Cartesian
0.000 0.000 0.000 H
0.538 0.530 1.684 Cr
-1.644 -0.492 0.680 Cr
-0.644 1.698 -0.329 Cr
-1.750 1.736 2.036 Pt
```

Record order is preserved below.
Raw total energy: -115.47; -54.55; -64.00; -87.96; -127.17; -97.89; -333.21; -129.31 eV/cell
Record order is preserved below.
Total magnetic moment: 3.367; 3.011; 10.040; 4.997; 13.000; 4.294; 3.531; 0.054 μB per formula unit